(1)
This record from the Alexandria database describes RbRh2O4 after structural relaxation. The functional is PBE.

Density of states at the Fermi level, states/eV per cell: 6.1
Raw formation energy, eV per atom: -0.96

Cell: 5.377 3.187 6.676 Å, 90.00 106.07 90.00°
Space group P2/m (No. 10)
Inequivalent atoms, fractional coordinates:
Rb 0.000 0.000 0.000 (multiplicity 1)
Rh 0.000 0.500 0.500 (multiplicity 1)
Rh 0.500 0.000 0.500 (multiplicity 1)
O 0.216 0.000 0.648 (multiplicity 2)
O 0.284 0.500 0.347 (multiplicity 2)



(2)
This record from the Alexandria database describes Ho4Te2AsPt after structural relaxation. The functional is PBE.

Density of states at the Fermi level, states/eV per cell: 5.1
Raw formation energy, eV per atom: -1.34

Cell: 7.364 4.153 7.456 Å, 90.00 108.90 90.00°
Space group P2/m (No. 10)
Inequivalent atoms, fractional coordinates:
Ho 0.229 0.000 0.210 (multiplicity 2)
Ho 0.259 0.500 0.781 (multiplicity 2)
Te 0.000 0.000 0.500 (multiplicity 1)
Te 0.500 0.500 0.500 (multiplicity 1)
As 0.500 0.000 0.000 (multiplicity 1)
Pt 0.000 0.500 0.000 (multiplicity 1)



(3)
This record from the Alexandria database describes Tb12PrSc6 after structural relaxation. The functional is PBE.

Density of states at the Fermi level, states/eV per cell: 81.2
ΔE_f, eV/atom: 0.4199

Cell: 14.5609 14.5609 10.0030 Å, 90.00 90.00 120.00°
Space group R-3m (No. 166, hexagonal axes)
Inequivalent atoms, fractional coordinates:
Tb 0.0000 0.3874 0.0000 (multiplicity 18)
Tb 0.0755 0.1510 0.8063 (multiplicity 18)
Pr 0.0000 0.0000 0.5000 (multiplicity 3)
Sc 0.0542 0.5271 0.7210 (multiplicity 18)



(4)
This record from the Alexandria database describes Ac2Ag5Au4 after structural relaxation. The functional is PBE.

Density of states at the Fermi level, states/eV per cell: 9.2
ΔE_f, eV/atom: -0.3204

Cell: 13.391 5.565 8.630 Å, 90.00 123.09 90.00°
Space group C2/m (No. 12)
Inequivalent atoms, fractional coordinates:
Ac 0.216 0.000 0.266 (multiplicity 4)
Ag 0.000 0.500 0.000 (multiplicity 2)
Ag 0.038 0.251 0.750 (multiplicity 8)
Au 0.139 0.000 0.557 (multiplicity 4)
Au 0.228 0.500 0.060 (multiplicity 4)



(5)
This record from the Alexandria database describes TmFe3Co after structural relaxation. The functional is PBE.

Density of states at the Fermi level, states/eV per cell: 15.4
ΔE_f, eV/atom: 0.1835

Cell: 3.418 4.865 8.705 Å, 90.00 90.00 90.00°
Space group Amm2 (No. 38)
Inequivalent atoms, fractional coordinates:
Tm 0.000 0.000 0.000 (multiplicity 2)
Fe 0.000 0.000 0.329 (multiplicity 2)
Fe 0.500 0.232 0.743 (multiplicity 4)
Co 0.500 0.000 0.507 (multiplicity 2)



(6)
This record from the Alexandria database describes UMoIr after structural relaxation. The functional is PBE.

Density of states at the Fermi level, states/eV per cell: 23.4
ΔE_f, eV/atom: 0.0647

Cell: 4.4590 4.4590 20.1929 Å, 90.00 90.00 120.00°
Space group R-3m (No. 166, hexagonal axes)
Inequivalent atoms, fractional coordinates:
U 0.0000 0.0000 0.1432 (multiplicity 6)
Mo 0.0000 0.0000 0.3059 (multiplicity 6)
Ir 0.0000 0.0000 0.4293 (multiplicity 6)



(7)
This record from the Alexandria database describes AsRuRh2 after structural relaxation. The functional is PBE.

Density of states at the Fermi level, states/eV per cell: 22.2
ΔE_f, eV/atom: 0.5695

Cell: 5.407 5.407 11.427 Å, 90.00 90.00 90.00°
Space group I-42d (No. 122)
Inequivalent atoms, fractional coordinates:
As 0.000 0.000 0.000 (multiplicity 4)
Ru 0.000 0.000 0.500 (multiplicity 4)
Rh 0.247 0.250 0.125 (multiplicity 8)



(8)
This record from the Alexandria database describes HfAgW2 after structural relaxation. The functional is PBE.

Density of states at the Fermi level, states/eV per cell: 25.0
ΔE_f, eV/atom: 0.7534

Cell: 6.549 6.549 6.549 Å, 90.00 90.00 90.00°
Space group Fm-3m (No. 225)
Inequivalent atoms, fractional coordinates:
Hf 0.000 0.000 0.000 (multiplicity 4)
Ag 0.000 0.000 0.500 (multiplicity 4)
W 0.250 0.250 0.250 (multiplicity 8)



(9)
This record from the Alexandria database describes Ba2Na4Pb5 after structural relaxation. The functional is PBE.

Density of states at the Fermi level, states/eV per cell: 9.9
ΔE_f, eV/atom: -0.2301

Cell: 12.618 7.299 10.017 Å, 90.00 126.09 90.00°
Space group C2/m (No. 12)
Inequivalent atoms, fractional coordinates:
Ba 0.070 0.000 0.272 (multiplicity 4)
Na 0.079 0.500 0.376 (multiplicity 4)
Na 0.223 0.500 0.954 (multiplicity 4)
Pb 0.000 0.500 0.000 (multiplicity 2)
Pb 0.177 0.210 0.679 (multiplicity 8)



(10)
This record from the Alexandria database describes MgTaH after structural relaxation. The functional is PBE.

Density of states at the Fermi level, states/eV per cell: 8.4
E_tot, eV/cell: -63.47

Cell: 6.076 2.930 10.253 Å, 90.00 90.00 90.00°
Space group Pnma (No. 62)
Inequivalent atoms, fractional coordinates:
Mg 0.117 0.250 0.111 (multiplicity 4)
Ta 0.110 0.250 0.407 (multiplicity 4)
H 0.116 0.750 0.276 (multiplicity 4)



(11)
This record from the Alexandria database describes Tb2YSc2 after structural relaxation. The functional is PBE.

Density of states at the Fermi level, states/eV per cell: 33.2
ΔE_f, eV/atom: 0.1938

Cell: 5.648 11.303 9.406 Å, 90.00 90.00 90.00°
Space group Imma (No. 74)
Inequivalent atoms, fractional coordinates:
Tb 0.000 0.076 0.163 (multiplicity 8)
Y 0.000 0.250 0.856 (multiplicity 4)
Sc 0.000 0.114 0.551 (multiplicity 8)



(12)
This record from the Alexandria database describes Th3GeTe3 after structural relaxation. The functional is PBE.

Density of states at the Fermi level, states/eV per cell: 20.6
Raw formation energy, eV per atom: -0.72

Cell: 9.165 12.818 7.961 Å, 90.00 93.51 90.00°
Space group C2/m (No. 12)
Inequivalent atoms, fractional coordinates:
Th 0.047 0.000 0.212 (multiplicity 4)
Th 0.160 0.353 0.316 (multiplicity 8)
Ge 0.248 0.500 0.072 (multiplicity 4)
Te 0.000 0.166 0.500 (multiplicity 4)
Te 0.000 0.232 0.000 (multiplicity 4)
Te 0.127 0.500 0.657 (multiplicity 4)



Copy entry 8 word for word.
This record from the Alexandria database describes HfAgW2 after structural relaxation. The functional is PBE.

Density of states at the Fermi level, states/eV per cell: 25.0
ΔE_f, eV/atom: 0.7534

Cell: 6.549 6.549 6.549 Å, 90.00 90.00 90.00°
Space group Fm-3m (No. 225)
Inequivalent atoms, fractional coordinates:
Hf 0.000 0.000 0.000 (multiplicity 4)
Ag 0.000 0.000 0.500 (multiplicity 4)
W 0.250 0.250 0.250 (multiplicity 8)



Among the records above, which one has the lowest density of states at the Fermi level? Ho4Te2AsPt



What is the density of states at the Fermi level in the second record? 5.1 states/eV per cell



What did the eleventh record say?
This record from the Alexandria database describes Tb2YSc2 after structural relaxation. The functional is PBE.

Density of states at the Fermi level, states/eV per cell: 33.2
ΔE_f, eV/atom: 0.1938

Cell: 5.648 11.303 9.406 Å, 90.00 90.00 90.00°
Space group Imma (No. 74)
Inequivalent atoms, fractional coordinates:
Tb 0.000 0.076 0.163 (multiplicity 8)
Y 0.000 0.250 0.856 (multiplicity 4)
Sc 0.000 0.114 0.551 (multiplicity 8)